# 1
VASP calculation (PBE) on a geometry-optimized Ni3MoP structure.

```
5
Lattice="-1.9217 -0.5786 3.9936 0.6051 -4.4146 -0.3484 3.9897 0.3909 1.9764" Properties=species:S:1:pos:R:3 pbc="T T T"
Ni 1.9948 0.1955 0.9882
Ni 0.3026 -2.2073 -0.1742
Ni -0.9608 -0.2893 1.9968
Mo 0.0000 0.0000 0.0000
P 1.3366 -2.3011 2.8108
```

## Properties
- offset from the most stable computed form (meV per atom) = 1165.7
- crystal system = cubic
- energy (eV/cell) = -25.73
- size of the total moment (μB/cell) = 0.00

# 2
VASP calculation (PBE) on a geometry-optimized Ce2SnBi structure.

```
4
Lattice="4.5415 0.0000 0.0000 -2.2708 3.9258 -0.2663 0.0000 -2.1119 7.5851" Properties=species:S:1:pos:R:3 pbc="T T T"
Bi 0.0000 -1.0559 3.7925
Ce 0.0000 1.4320 1.7103
Ce 2.2708 0.3819 5.6085
Sn 2.2708 0.0000 0.0000
```

## Properties
- offset from the most stable computed form (meV per atom) = 35.7
- crystal system = trigonal
- energy (eV/cell) = -22.27
- size of the total moment (μB/cell) = 1.00